Record 1
The following is a PBE-GGA calculation of CdCo2Mo after structural relaxation, from Alexandria via LeMat-Bulk.

The value obtained for the density is 9.7 g/cm³. The calculation puts the volume at 56 Å³/f.u. The formation energy from the elements comes out at 329 meV per atom.

It has space group Cm (No. 8), with a = 9.419 Å, b = 2.701 Å, c = 4.586 Å, α = 90.00°, β = 106.05° and γ = 90.00°. The asymmetric unit holds Cd at (0.000, 0.000, 0.000), Co at (0.035, 0.500, 0.517), Co at (0.241, 0.000, 0.815) and Mo at (0.284, 0.500, 0.356).


Record 2
The following is a PBE-GGA calculation of CdCoMo2 after structural relaxation, from Alexandria via LeMat-Bulk.

The value obtained for the density is 9.8 g/cm³. The calculation puts the volume at 62 Å³/f.u. The formation energy from the elements comes out at 412 meV per atom.

It has space group P4/mmm (No. 123), with a = 3.782 Å, b = 3.782 Å, c = 4.314 Å, α = 90.00°, β = 90.00° and γ = 90.00°. The asymmetric unit holds Cd at (0.000, 0.000, 0.000), Co at (0.500, 0.500, 0.000) and Mo at (0.000, 0.500, 0.500).


Record 3
The following is a PBE-GGA calculation of CdCoMo2 after structural relaxation, from Alexandria via LeMat-Bulk.

The value obtained for the density is 9.5 g/cm³. The calculation puts the volume at 63 Å³/f.u. The formation energy from the elements comes out at 445 meV per atom.

It has space group Imm2 (No. 44), with a = 3.189 Å, b = 4.615 Å, c = 8.612 Å, α = 90.00°, β = 90.00° and γ = 90.00°. The asymmetric unit holds Cd at (0.000, 0.000, 0.000), Co at (0.000, 0.500, 0.246), Mo at (0.000, 0.000, 0.513) and Mo at (0.000, 0.500, 0.782).


Record 4
The following is a PBE-GGA calculation of CdCo2Mo after structural relaxation, from Alexandria via LeMat-Bulk.

The value obtained for the density is 9.4 g/cm³. The calculation puts the volume at 58 Å³/f.u. The formation energy from the elements comes out at 609 meV per atom.

It has space group F-43m (No. 216), with a = 6.132 Å, b = 6.132 Å, c = 6.132 Å, α = 90.00°, β = 90.00° and γ = 90.00°. The asymmetric unit holds Cd at (0.000, 0.000, 0.000), Co at (0.000, 0.000, 0.500), Co at (0.250, 0.250, 0.750) and Mo at (0.250, 0.250, 0.250).


Record 5
The following is a PBE-GGA calculation of CdCoMo2 after structural relaxation, from Alexandria via LeMat-Bulk.

The value obtained for the density is 9.7 g/cm³. The calculation puts the volume at 62 Å³/f.u. The formation energy from the elements comes out at 433 meV per atom.

It has space group Cm (No. 8), with a = 9.354 Å, b = 2.735 Å, c = 4.986 Å, α = 90.00°, β = 101.59° and γ = 90.00°. The asymmetric unit holds Cd at (0.000, 0.000, 0.000), Co at (0.247, 0.000, 0.749), Mo at (0.031, 0.500, 0.520) and Mo at (0.268, 0.500, 0.293).


Record 6
The following is a PBE-GGA calculation of CdCoMo2 after structural relaxation, from Alexandria via LeMat-Bulk.

The value obtained for the density is 9.4 g/cm³. The calculation puts the volume at 64 Å³/f.u. The formation energy from the elements comes out at 391 meV per atom.

It has space group P4/mmm (No. 123), with a = 3.272 Å, b = 3.272 Å, c = 5.988 Å, α = 90.00°, β = 90.00° and γ = 90.00°. The asymmetric unit holds Cd at (0.000, 0.000, 0.000), Co at (0.000, 0.000, 0.500) and Mo at (0.500, 0.500, 0.304).